a.
# Ce2PtBr, relaxed, DFT GGA-PBE
data_Ce2PtBr
_chemical_formula_sum 'Ce6 Pt3 Br3'
_space_group_name_H-M_alt 'R 3 m'
_space_group_IT_number 160
_space_group_name_Hall 'R 3 -2"'
_cell_length_a 4.1263
_cell_length_b 4.1263
_cell_length_c 23.4870
_cell_angle_alpha 90.00
_cell_angle_beta 90.00
_cell_angle_gamma 120.00
loop_
_atom_site_label
_atom_site_type_symbol
_atom_site_fract_x
_atom_site_fract_y
_atom_site_fract_z
_atom_site_occupancy
Ce1 Ce 0.0000 0.0000 0.0000 1
Ce2 Ce 0.0000 0.0000 0.1974 1
Pt1 Pt 0.0000 0.0000 0.5994 1
Br1 Br 0.0000 0.0000 0.4304 1
# Size of the total moment   2.3 μB/f.u.

---

b.
# Ce2PtBr, relaxed, DFT GGA-PBE
data_Ce2PtBr
_chemical_formula_sum 'Ce6 Pt3 Br3'
_space_group_name_H-M_alt 'R -3 m'
_space_group_IT_number 166
_space_group_name_Hall '-R 3 2"'
_cell_length_a 4.1968
_cell_length_b 4.1968
_cell_length_c 22.5522
_cell_angle_alpha 90.00
_cell_angle_beta 90.00
_cell_angle_gamma 120.00
loop_
_atom_site_label
_atom_site_type_symbol
_atom_site_fract_x
_atom_site_fract_y
_atom_site_fract_z
_atom_site_occupancy
Ce1 Ce 0.0000 0.0000 0.2353 1
Pt1 Pt 0.0000 0.0000 0.5000 1
Br1 Br 0.0000 0.0000 0.0000 1
# Size of the total moment   2.3 μB/f.u.

---

Most stable: b. Least stable: a.

---

a.
# Rb5Ce2Br12, relaxed, DFT GGA-PBE
data_Rb5Ce2Br12
_chemical_formula_sum 'Rb10 Ce4 Br24'
_space_group_name_H-M_alt 'C 1 2/m 1'
_space_group_IT_number 12
_cell_length_a 17.305
_cell_length_b 12.583
_cell_length_c 10.123
_cell_angle_alpha 90.00
_cell_angle_beta 111.58
_cell_angle_gamma 90.00
loop_
_space_group_symop_operation_xyz
'x,y,z'
'-x,-y,-z'
'-x,y,-z'
'x,-y,z'
'x+1/2,y+1/2,z'
'-x+1/2,-y+1/2,-z'
'-x+1/2,y+1/2,-z'
'x+1/2,-y+1/2,z'
loop_
_atom_site_label
_atom_site_type_symbol
_atom_site_fract_x
_atom_site_fract_y
_atom_site_fract_z
_atom_site_occupancy
Rb1 Rb 0.000 0.000 0.000 1
Rb2 Rb 0.053 0.500 0.837 1
Rb3 Rb 0.246 0.500 0.519 1
Ce1 Ce 0.000 0.179 0.500 1
Br1 Br 0.073 0.170 0.292 1
Br2 Br 0.106 0.000 0.654 1
Br3 Br 0.125 0.323 0.650 1
Br4 Br 0.140 0.500 0.181 1
# Size of the total moment   1.0 μB/f.u.

---

b.
# Rb5Ce2Br12, relaxed, DFT GGA-PBE
data_Rb5Ce2Br12
_chemical_formula_sum 'Rb10 Ce4 Br24'
_space_group_name_H-M_alt 'C 1 2/m 1'
_space_group_IT_number 12
_cell_length_a 16.798
_cell_length_b 10.808
_cell_length_c 8.576
_cell_angle_alpha 90.00
_cell_angle_beta 102.62
_cell_angle_gamma 90.00
loop_
_space_group_symop_operation_xyz
'x,y,z'
'-x,-y,-z'
'-x,y,-z'
'x,-y,z'
'x+1/2,y+1/2,z'
'-x+1/2,-y+1/2,-z'
'-x+1/2,y+1/2,-z'
'x+1/2,-y+1/2,z'
loop_
_atom_site_label
_atom_site_type_symbol
_atom_site_fract_x
_atom_site_fract_y
_atom_site_fract_z
_atom_site_occupancy
Rb1 Rb 0.000 0.000 0.000 1
Rb2 Rb 0.132 0.500 0.011 1
Rb3 Rb 0.248 0.000 0.486 1
Ce1 Ce 0.000 0.247 0.500 1
Br1 Br 0.039 0.500 0.334 1
Br2 Br 0.079 0.000 0.658 1
Br3 Br 0.102 0.201 0.272 1
Br4 Br 0.152 0.301 0.723 1
# Size of the total moment   1.0 μB/f.u.

---

Most stable: b. Least stable: a.